A plane-wave DFT calculation with PBE-GGA was carried out for crystalline BaSrCd2Au2 at its relaxed geometry.

Symmetry ... P-3m1

The structure in POSCAR format:
```
BaSrCd2Au2
1.0
4.983 0.000 0.000
-2.491 4.315 0.000
0.000 0.000 8.199
Ba Sr Cd Au
1 1 2 2
Direct
0.000 0.000 0.000
0.000 0.000 0.500
0.667 0.333 0.722
0.333 0.667 0.278
0.667 0.333 0.279
0.333 0.667 0.721
```



A plane-wave DFT calculation with PBE-GGA was carried out for crystalline Ba2SrCdAu at its relaxed geometry.

Symmetry ... P4/mmm

The structure in POSCAR format:
```
Ba2SrCdAu
1.0
6.350 0.000 0.000
0.000 6.350 0.000
0.000 0.000 6.092
Sr Au Ba Cd
1 1 2 1
Direct
0.000 0.000 0.500
0.000 0.000 0.000
0.000 0.500 0.000
0.500 0.000 0.000
0.500 0.500 0.500
```



A plane-wave DFT calculation with PBE-GGA was carried out for crystalline BaTbCd2Au4 at its relaxed geometry.

Symmetry ... R-3m

The structure in POSCAR format:
```
BaTbCd2Au4
1.0
-1.528 -3.442 3.101
2.995 -1.654 3.477
-2.708 5.126 8.193
Ba Tb Cd Au
1 1 2 4
Direct
0.000 0.000 0.000
0.500 0.500 0.500
0.762 0.762 0.714
0.238 0.238 0.286
0.399 0.399 0.803
0.876 0.876 0.373
0.124 0.124 0.627
0.601 0.601 0.197
```



A plane-wave DFT calculation with PBE-GGA was carried out for crystalline Ba4TlCd2Au at its relaxed geometry.

Symmetry ... R-3m

The structure in POSCAR format:
```
Ba4TlCd2Au
1.0
-1.952 4.524 -3.347
-2.762 -1.090 -5.163
-10.104 0.882 1.783
Ba Tl Cd Au
4 1 2 1
Direct
0.380 0.380 0.860
0.872 0.872 0.385
0.128 0.128 0.615
0.620 0.620 0.140
0.000 0.000 0.000
0.745 0.745 0.766
0.255 0.255 0.234
0.500 0.500 0.500
```



A plane-wave DFT calculation with PBE-GGA was carried out for crystalline BaTlCd2Au2 at its relaxed geometry.

Symmetry ... P-3m1

The structure in POSCAR format:
```
BaTlCd2Au2
1.0
-1.260 -0.711 4.765
0.500 -3.903 -3.052
7.333 -0.517 1.862
Ba Tl Cd Au
1 1 2 2
Direct
0.000 0.000 0.000
0.000 0.000 0.500
0.667 0.333 0.695
0.333 0.667 0.305
0.667 0.333 0.277
0.333 0.667 0.723
```



A plane-wave DFT calculation with PBE-GGA was carried out for crystalline Ba2TlCdAu at its relaxed geometry.

Symmetry ... P4/mmm

The structure in POSCAR format:
```
Ba2TlCdAu
1.0
6.315 0.000 0.000
0.000 6.315 0.000
0.000 0.000 5.266
Tl Au Ba Cd
1 1 2 1
Direct
0.500 0.500 0.500
0.000 0.000 0.000
0.000 0.500 0.000
0.500 0.000 0.000
0.000 0.000 0.500
```



A plane-wave DFT calculation with PBE-GGA was carried out for crystalline Ba2TlCdAu6 at its relaxed geometry.

Symmetry ... Fm-3m

The structure in POSCAR format:
```
Ba2TlCdAu6
1.0
7.581 0.000 0.000
0.000 7.581 0.000
3.790 3.790 5.360
Ba Tl Cd Au
2 1 1 6
Direct
0.250 0.750 0.500
0.750 0.250 0.500
0.000 0.000 0.000
0.500 0.500 0.000
0.253 0.747 0.000
0.747 0.747 0.000
0.253 0.253 0.494
0.747 0.253 0.000
0.253 0.253 0.000
0.747 0.747 0.506
```



A plane-wave DFT calculation with PBE-GGA was carried out for crystalline Ba2TlCd4Au3 at its relaxed geometry.

Symmetry ... P-4m2

The structure in POSCAR format:
```
Ba2TlCd4Au3
1.0
4.728 0.000 0.000
0.000 4.728 0.000
0.000 0.000 12.464
Ba Tl Cd Au
2 1 4 3
Direct
0.500 0.000 0.242
0.000 0.500 0.758
0.500 0.500 0.500
0.500 0.500 0.000
0.000 0.000 0.000
0.500 0.000 0.641
0.000 0.500 0.359
0.000 0.000 0.500
0.500 0.000 0.865
0.000 0.500 0.135
```



A plane-wave DFT calculation with PBE-GGA was carried out for crystalline BaTlCdAu2 at its relaxed geometry.

Symmetry ... I-4m2

The structure in POSCAR format:
```
BaTlCdAu2
1.0
-1.865 -2.543 3.362
3.470 1.162 2.804
-4.189 5.874 -1.040
Ba Tl Cd Au
1 1 1 2
Direct
0.000 0.000 0.000
0.750 0.250 0.500
0.250 0.750 0.500
0.607 0.607 0.214
0.393 0.393 0.786
```



A plane-wave DFT calculation with PBE-GGA was carried out for crystalline BaTlCdAu at its relaxed geometry.

Symmetry ... F-43m

The structure in POSCAR format:
```
BaTlCdAu
1.0
-3.084 -3.659 2.735
1.553 -1.724 5.000
-2.833 1.570 4.460
Tl Au Ba Cd
1 1 1 1
Direct
0.000 0.000 0.000
0.250 0.250 0.250
0.500 0.500 0.500
0.750 0.750 0.750
```



A plane-wave DFT calculation with PBE-GGA was carried out for crystalline Ba2Zn6CdAu at its relaxed geometry.

Symmetry ... P-1

The structure in POSCAR format:
```
Ba2Zn6CdAu
1.0
7.205 0.057 0.300
-0.026 6.853 0.027
3.830 3.485 5.175
Ba Zn Cd Au
2 6 1 1
Direct
0.704 0.297 0.402
0.296 0.703 0.598
0.135 0.253 0.494
0.747 0.868 0.878
0.254 0.746 0.126
0.746 0.254 0.874
0.253 0.132 0.122
0.865 0.747 0.506
0.000 0.000 0.000
0.500 0.500 0.000
```



A plane-wave DFT calculation with PBE-GGA was carried out for crystalline Ba2Zn3CdAu4 at its relaxed geometry.

Symmetry ... P-4m2

The structure in POSCAR format:
```
Ba2Zn3CdAu4
1.0
4.789 0.000 0.000
0.000 4.789 0.000
0.000 0.000 10.655
Ba Zn Cd Au
2 3 1 4
Direct
0.500 0.000 0.238
0.000 0.500 0.762
0.000 0.000 0.500
0.500 0.000 0.888
0.000 0.500 0.112
0.500 0.500 0.500
0.500 0.500 0.000
0.000 0.000 0.000
0.500 0.000 0.640
0.000 0.500 0.360
```



no.,DFT formation energy (eV/f.u.),mass density (kg/m³)
1,-3.41,7946
2,-1.40,4541
3,-4.64,10948
4,-3.43,6545
5,-2.08,9794
6,-1.53,6234
7,-2.29,9560
8,-4.11,9055
9,-2.28,10162
10,-1.30,9130
11,-2.16,6565
12,-4.93,9317